Entry from Alexandria: a relaxed SbIrBr3 crystal (PBE).

The structure in CIF format:
```
data_SbIrBr3
_space_group_name_H-M_alt 'P 1'
_space_group_IT_number 1
_space_group_name_Hall 'P 1'
_cell_length_a 5.068
_cell_length_b 5.068
_cell_length_c 5.068
_cell_angle_alpha 90.00
_cell_angle_beta 90.00
_cell_angle_gamma 90.00
loop_
_atom_site_label
_atom_site_type_symbol
_atom_site_fract_x
_atom_site_fract_y
_atom_site_fract_z
_atom_site_occupancy
Br1 Br 0.500 0.000 0.000 1
Br2 Br 0.000 0.000 0.500 1
Br3 Br 0.000 0.500 0.000 1
Sb1 Sb 0.500 0.500 0.500 1
Ir1 Ir 0.000 0.000 0.000 1
```

Values from the calculation:
ΔE_f (raw) = 41.18 kJ per mole of atoms
polymorph energy (0 for the lowest one) = 0.0 meV/atom
calculated volume = 26.034 Å³ per atom